Entry 1:
Density functional theory data (PBE) for a geometry-optimized La2OF structure.

Its uncorrected energy is -6.8098 eV/atom. Its density is 7.3 g/cm³. The raw formation energy comes out at -255 kJ per mole of atoms. Its relative energy among the computed polymorphs is 0.000 eV per atom.

Lattice parameters (Å, degrees): 3.6540 3.6540 6.4855 73.64 73.64 60.00
Element x y z (fractional)
F 0.5000 0.5000 0.5000
La 0.7435 0.7435 0.7696
O 0.0000 0.0000 0.0000
La 0.2565 0.2565 0.2304

Entry 2:
Density functional theory data (PBE) for a geometry-optimized La2O2F structure.

Its uncorrected energy is -7.5598 eV/atom. Its density is 5.4 g/cm³. The raw formation energy comes out at -312 kJ per mole of atoms.

Lattice parameters (Å, degrees): 5.7821 7.1225 6.8098 105.22 95.95 127.85
Element x y z (fractional)
O 0.9996 0.7496 0.4991
O 0.2864 0.5364 0.0727
F 0.2936 0.0436 0.0871
La 0.1055 0.6172 0.7771
La 0.8284 0.8401 0.2229
La 0.8945 0.3828 0.2229
F 0.7064 0.9564 0.9129
O 0.7136 0.4636 0.9273
La 0.1716 0.1599 0.7771
O 0.0004 0.2504 0.5009

Entry 3:
Density functional theory data (PBE) for a geometry-optimized LaOs2O7F2 structure.

Its uncorrected energy is -6.7178 eV/atom. Its density is 7.5 g/cm³. The raw formation energy comes out at -119 kJ per mole of atoms.

Lattice parameters (Å, degrees): 3.9387 3.9387 9.9293 101.45 101.44 90.00
Element x y z (fractional)
O 0.3001 0.2999 0.6002
O 0.4087 0.9087 0.8175
O 0.6999 0.7000 0.3998
F 0.2500 0.7498 0.5000
O 0.5913 0.0913 0.1825
La 0.0000 0.0000 0.0000
O 0.0913 0.5913 0.1825
Os 0.6110 0.6111 0.2220
F 0.7500 0.2500 0.5000
Os 0.3890 0.3889 0.7780
O 0.5000 0.5000 0.0000
O 0.9087 0.4087 0.8175

Entry 4:
Density functional theory data (PBE) for a geometry-optimized LaPOF2 structure.

Its uncorrected energy is -5.4991 eV/atom. Its density is 4.8 g/cm³. The raw formation energy comes out at -163 kJ per mole of atoms. Its relative energy among the computed polymorphs is 0.214 eV per atom.

Lattice parameters (Å, degrees): 4.6773 4.6773 3.5766 90.00 90.00 90.00
Element x y z (fractional)
La 0.5000 0.5000 0.5000
P 0.0000 0.0000 0.0000
O 0.0000 0.0000 0.5000
F 0.5000 0.0000 0.0000
F 0.0000 0.5000 0.0000

Entry 5:
Density functional theory data (PBE) for a geometry-optimized LaPOF2 structure.

Its uncorrected energy is -5.7128 eV/atom. Its density is 3.6 g/cm³. The raw formation energy comes out at -184 kJ per mole of atoms. Its relative energy among the computed polymorphs is 0.000 eV per atom.

Lattice parameters (Å, degrees): 4.6353 4.6353 4.8311 90.00 90.00 90.00
Last column: magnetic moment on the atom in μB.
Element x y z (fractional)
F 0.5000 0.0000 0.0000  0.04
La 0.0000 0.0000 0.0000  0.00
O 0.0000 0.0000 0.5000  -0.28
F 0.0000 0.5000 0.0000  0.04
P 0.5000 0.5000 0.5000  1.00

Entry 6:
Density functional theory data (PBE) for a geometry-optimized La2PbOF structure.

Its uncorrected energy is -5.2921 eV/atom. Its density is 7.5 g/cm³. The raw formation energy comes out at -117 kJ per mole of atoms. Its relative energy among the computed polymorphs is 1.304 eV per atom.

Lattice parameters (Å, degrees): 4.8920 4.8229 4.8920 90.00 90.00 90.00
Element x y z (fractional)
F 0.0000 0.0000 0.0000
La 0.0000 0.0000 0.5000
La 0.5000 0.0000 0.0000
Pb 0.5000 0.5000 0.5000
O 0.0000 0.5000 0.0000

Entry 7:
Density functional theory data (PBE) for a geometry-optimized La2PbOF structure.

Its uncorrected energy is -6.5965 eV/atom. Its density is 7.4 g/cm³. The raw formation energy comes out at -243 kJ per mole of atoms. Its relative energy among the computed polymorphs is 0.000 eV per atom.

Lattice parameters (Å, degrees): 4.0593 4.0593 7.6024 105.48 105.48 90.00
Element x y z (fractional)
La 0.3479 0.3479 0.6959
Pb 0.0000 0.0000 0.0000
F 0.2500 0.7500 0.5000
O 0.7500 0.2500 0.5000
La 0.6521 0.6521 0.3041

Entry 8:
Density functional theory data (PBE) for a geometry-optimized LaPd2OF structure.

Its uncorrected energy is -4.6674 eV/atom. Its density is 5.3 g/cm³. The raw formation energy comes out at -23 kJ per mole of atoms.

Lattice parameters (Å, degrees): 5.2244 4.4230 5.2244 90.00 90.00 90.00
Element x y z (fractional)
F 0.0000 0.5000 0.0000
O 0.5000 0.5000 0.5000
Pd 0.0000 0.0000 0.5000
La 0.0000 0.0000 0.0000
Pd 0.5000 0.0000 0.0000

Entry 9:
Density functional theory data (PBE) for a geometry-optimized La2PdO2F2 structure.

Its uncorrected energy is -6.7995 eV/atom. Its density is 6.8 g/cm³. The raw formation energy comes out at -260 kJ per mole of atoms.

Lattice parameters (Å, degrees): 6.9488 6.9488 6.9488 144.77 144.77 50.67
Last column: magnetic moment on the atom in μB.
Element x y z (fractional)
O 0.5000 0.0000 0.5000  0.00
F 0.7500 0.2500 0.5000  0.00
La 0.6269 0.6269 0.0000  0.08
O 0.0000 0.5000 0.5000  0.00
La 0.3731 0.3731 0.0000  0.08
Pd 0.0000 0.0000 0.0000  0.01
F 0.2500 0.7500 0.5000  0.00

Entry 10:
Density functional theory data (PBE) for a geometry-optimized LaPtOF2 structure.

Its uncorrected energy is -5.4067 eV/atom. Its density is 7.9 g/cm³. The raw formation energy comes out at -142 kJ per mole of atoms.

Lattice parameters (Å, degrees): 4.4768 4.4768 4.0631 90.00 90.00 90.00
Last column: magnetic moment on the atom in μB.
Element x y z (fractional)
F 0.0000 0.5000 0.0000  0.00
Pt 0.0000 0.0000 0.0000  -0.04
O 0.0000 0.0000 0.5000  -0.01
F 0.5000 0.0000 0.0000  0.00
La 0.5000 0.5000 0.5000  0.23

Entry 11:
Density functional theory data (PBE) for a geometry-optimized LaPuO4F structure.

Its uncorrected energy is -8.6271 eV/atom. Its density is 6.1 g/cm³. The raw formation energy comes out at -268 kJ per mole of atoms.

Lattice parameters (Å, degrees): 5.6694 5.6694 8.0981 81.46 81.46 82.97
Last column: magnetic moment on the atom in μB.
Element x y z (fractional)
F 0.9657 0.9657 0.8309  -0.01
O 0.8624 0.5042 0.8762  -0.09
O 0.5042 0.8624 0.8762  -0.09
O 0.1376 0.4958 0.1238  -0.09
La 0.7647 0.7647 0.1140  -0.01
O 0.2093 0.2093 0.5439  -0.15
O 0.7907 0.7907 0.4561  -0.15
O 0.5135 0.5135 0.3045  -0.15
Pu 0.7197 0.7197 0.6905  2.48
Pu 0.2803 0.2803 0.3095  2.48
F 0.0343 0.0343 0.1691  -0.01
O 0.4958 0.1376 0.1238  -0.09
O 0.4865 0.4865 0.6955  -0.15
La 0.2353 0.2353 0.8860  -0.01

Entry 12:
Density functional theory data (PBE) for a geometry-optimized RbLaOF2 structure.

Its uncorrected energy is -4.6311 eV/atom. Its density is 4.3 g/cm³. The raw formation energy comes out at -165 kJ per mole of atoms. Its relative energy among the computed polymorphs is 1.530 eV per atom.

Lattice parameters (Å, degrees): 4.6453 4.6453 5.0062 90.00 90.00 90.00
Last column: magnetic moment on the atom in μB.
Element x y z (fractional)
Rb 0.0000 0.0000 0.0000  -0.02
La 0.5000 0.5000 0.5000  0.19
F 0.0000 0.5000 0.0000  0.00
F 0.5000 0.0000 0.0000  0.00
O 0.0000 0.0000 0.5000  -0.17